No. 1
The following is a DFT calculation (PBE-GGA) of an optimized crystal structure of CuAgBr2.

Properties
Formation energy (no corrections) in meV per atom: -60
DOS at the Fermi energy in states/eV/cell: 0.53
Space group: Pmmm
E above lowest polymorph in eV per formula unit: 0.90
ρ in Mg/m³: 5.00

Cell and atoms, written as extended XYZ:
```
4
Lattice="-1.765 -3.249 -0.989 3.529 -3.647 5.684 -2.852 0.845 2.313" Properties=species:S:1:pos:R:3 pbc="T T T"
Br 0.882 -3.448 2.347
Br 0.000 0.000 0.000
Cu -2.309 -1.202 0.662
Ag 0.338 -1.401 3.998
```

No. 2
The following is a DFT calculation (PBE-GGA) of an optimized crystal structure of CuAg4Br.

Properties
Formation energy (no corrections) in meV per atom: 366
DOS at the Fermi energy in states/eV/cell: 2.06
Space group: F-43m
ρ in Mg/m³: 7.76

Cell and atoms, written as extended XYZ:
```
6
Lattice="0.099 -5.562 0.471 -4.635 -2.964 -0.948 -0.386 -3.195 -4.562" Properties=species:S:1:pos:R:3 pbc="T T T"
Ag -2.037 -5.994 -4.177
Ag -4.171 -5.878 -2.362
Ag -1.794 -7.182 -1.650
Ag -1.843 -4.389 -1.887
Cu 0.000 0.000 0.000
Br -3.692 -8.791 -3.779
```

No. 3
The following is a DFT calculation (PBE-GGA) of an optimized crystal structure of Cu3AgBr8.

Properties
Formation energy (no corrections) in meV per atom: -198
DOS at the Fermi energy in states/eV/cell: 9.25
Space group: Cm
ρ in Mg/m³: 4.60

Cell and atoms, written as extended XYZ:
```
12
Lattice="0.535 3.168 2.852 -4.869 4.936 -4.570 -4.944 -7.587 6.121" Properties=species:S:1:pos:R:3 pbc="T T T"
Br -5.317 2.199 -1.445
Br -7.013 -2.500 4.093
Br -3.579 -1.235 2.043
Br -8.805 -0.269 1.951
Br -0.597 0.779 2.483
Br -2.358 2.893 0.464
Br -3.961 -1.690 5.857
Br -5.345 1.843 2.192
Cu -4.159 4.205 -0.654
Cu -5.160 -3.721 5.102
Cu -2.977 1.254 2.401
Ag -6.235 -0.782 2.039
```

No. 4
The following is a DFT calculation (PBE-GGA) of an optimized crystal structure of CuAgBr2.

Properties
Formation energy (no corrections) in meV per atom: -281
DOS at the Fermi energy in states/eV/cell: 0.04
Space group: P1
E above lowest polymorph in eV per formula unit: 0.02
ρ in Mg/m³: 5.09

Cell and atoms, written as extended XYZ:
```
8
Lattice="4.156 0.000 0.002 0.000 6.046 0.000 -0.001 0.000 8.597" Properties=species:S:1:pos:R:3 pbc="T T T"
Cu 2.919 2.152 8.536
Cu 0.836 5.174 1.913
Br 2.912 3.479 6.455
Br 0.839 0.792 0.047
Br 2.913 3.812 1.813
Br 0.831 0.453 4.000
Ag 2.908 2.244 4.036
Ag 0.834 5.270 6.423
```

No. 5
The following is a DFT calculation (PBE-GGA) of an optimized crystal structure of Cu2Ag2Br5.

Properties
Formation energy (no corrections) in meV per atom: -262
DOS at the Fermi energy in states/eV/cell: 18.73
Space group: Ima2
E above lowest polymorph in eV per formula unit: 0.25
ρ in Mg/m³: 5.37

Cell and atoms, written as extended XYZ:
```
18
Lattice="-0.881 1.964 6.572 5.773 -3.929 1.948 2.973 8.231 -5.699" Properties=species:S:1:pos:R:3 pbc="T T T"
Cu 5.603 -3.814 1.891
Cu 2.995 3.372 -0.917
Cu 2.276 -0.867 4.203
Cu 5.365 2.557 3.905
Br 3.503 5.648 -0.298
Br 5.019 1.867 -0.873
Br 1.003 1.154 5.273
Br 1.453 5.346 3.224
Br 3.895 -0.824 6.201
Br 6.502 5.367 -2.526
Br 3.621 7.318 -3.545
Br 6.171 4.169 2.301
Br 1.133 2.478 0.331
Br 3.801 0.999 2.930
Ag 3.913 6.215 2.312
Ag 7.241 3.266 -0.010
Ag 4.538 -0.349 0.708
Ag 1.210 2.600 3.029
```

No. 6
The following is a DFT calculation (PBE-GGA) of an optimized crystal structure of Cu2AgBr.

Properties
Formation energy (no corrections) in meV per atom: 211
DOS at the Fermi energy in states/eV/cell: 0.46
Space group: R3m
E above lowest polymorph in eV per formula unit: 0.44
ρ in Mg/m³: 6.83

Cell and atoms, written as extended XYZ:
```
4
Lattice="6.575 0.035 0.022 5.472 3.646 0.022 5.472 1.672 3.240" Properties=species:S:1:pos:R:3 pbc="T T T"
Br 12.853 3.927 2.409
Ag 9.139 2.793 1.713
Cu 17.249 5.271 3.233
Cu 4.558 1.393 0.854
```

No. 7
The following is a DFT calculation (PBE-GGA) of an optimized crystal structure of CuAg5Br8.

Properties
Formation energy (no corrections) in meV per atom: -282
DOS at the Fermi energy in states/eV/cell: 14.02
Space group: I-4
E above lowest polymorph in eV per formula unit: 0.00
ρ in Mg/m³: 5.11

Cell and atoms, written as extended XYZ:
```
14
Lattice="-3.648 -6.893 -2.356 4.190 4.535 -5.315 5.612 -2.459 5.369" Properties=species:S:1:pos:R:3 pbc="T T T"
Br 2.935 -0.219 -0.846
Br 6.002 -0.936 1.869
Br 4.157 2.106 -3.449
Br 6.043 -1.761 -2.127
Br 0.004 -3.234 -2.065
Br 2.824 -1.638 -4.671
Br 7.011 1.669 -1.139
Br 3.479 -3.826 0.265
Ag 2.314 1.397 -5.438
Ag 3.136 -2.752 -2.193
Ag 2.896 -1.530 1.631
Ag 3.963 -6.748 1.398
Ag 0.271 -1.179 -3.835
Cu 5.037 0.449 -1.890
```

No. 8
The following is a DFT calculation (PBE-GGA) of an optimized crystal structure of CuAgBr2.

Properties
Formation energy (no corrections) in meV per atom: -255
DOS at the Fermi energy in states/eV/cell: 0.00
Space group: C2/m
E above lowest polymorph in eV per formula unit: 0.12
ρ in Mg/m³: 4.71

Cell and atoms, written as extended XYZ:
```
8
Lattice="-0.510 5.934 0.171 -5.208 -3.525 3.015 0.549 -0.150 6.831" Properties=species:S:1:pos:R:3 pbc="T T T"
Cu 0.020 2.892 3.501
Cu 0.000 0.000 0.000
Br -1.259 2.728 5.372
Br -1.278 -0.164 1.872
Br -3.910 -0.470 4.644
Br -3.891 2.422 8.145
Ag -2.320 -0.392 6.673
Ag -2.849 2.650 3.344
```

No. 9
The following is a DFT calculation (PBE-GGA) of an optimized crystal structure of Cu2AgBr.

Properties
Formation energy (no corrections) in meV per atom: 229
DOS at the Fermi energy in states/eV/cell: 0.66
Space group: Imm2
E above lowest polymorph in eV per formula unit: 0.51
ρ in Mg/m³: 6.76

Cell and atoms, written as extended XYZ:
```
4
Lattice="-6.080 1.813 2.070 -6.090 -2.728 -0.071 6.527 -0.876 1.081" Properties=species:S:1:pos:R:3 pbc="T T T"
Cu -11.513 -0.866 1.891
Cu -3.703 0.173 2.220
Br -2.507 -2.007 0.952
Ag -6.175 -0.464 1.014
```

No. 10
The following is a DFT calculation (PBE-GGA) of an optimized crystal structure of Cu2AgBr.

Properties
Formation energy (no corrections) in meV per atom: 429
DOS at the Fermi energy in states/eV/cell: 0.60
Space group: I4/mmm
E above lowest polymorph in eV per formula unit: 1.31
ρ in Mg/m³: 7.69

Cell and atoms, written as extended XYZ:
```
4
Lattice="5.046 0.053 0.000 1.753 4.732 0.000 -3.399 -2.392 2.861" Properties=species:S:1:pos:R:3 pbc="T T T"
Cu 3.399 2.392 0.000
Cu 0.000 0.000 0.000
Br 2.523 0.026 1.430
Ag 0.876 2.366 1.430
```

No. 11
The following is a DFT calculation (PBE-GGA) of an optimized crystal structure of CuAgBr2.

Properties
Formation energy (no corrections) in meV per atom: -264
DOS at the Fermi energy in states/eV/cell: 0.49
Space group: Pm
E above lowest polymorph in eV per formula unit: 0.09
ρ in Mg/m³: 5.32

Cell and atoms, written as extended XYZ:
```
4
Lattice="-0.284 -3.976 0.080 3.082 -0.282 -3.094 4.342 -0.230 4.024" Properties=species:S:1:pos:R:3 pbc="T T T"
Cu 3.392 -0.224 0.938
Br 2.863 -2.210 -0.333
Br 3.755 -0.203 3.272
Ag 5.184 -2.337 1.622
```

No. 12
The following is a DFT calculation (PBE-GGA) of an optimized crystal structure of Cu2AgBr.

Properties
Formation energy (no corrections) in meV per atom: 174
DOS at the Fermi energy in states/eV/cell: 0.33
Space group: P3m1
E above lowest polymorph in eV per formula unit: 0.29
ρ in Mg/m³: 6.32

Cell and atoms, written as extended XYZ:
```
4
Lattice="4.017 -0.411 -0.231 2.360 3.277 -0.231 0.352 0.158 5.828" Properties=species:S:1:pos:R:3 pbc="T T T"
Cu 1.100 0.494 4.974
Cu 5.325 2.393 4.210
Ag 3.126 1.405 3.150
Br 0.894 0.402 1.543
```

No. 13
The following is a DFT calculation (PBE-GGA) of an optimized crystal structure of CuAgBr2.

Properties
Formation energy (no corrections) in meV per atom: -274
Space group: Cm
E above lowest polymorph in eV per formula unit: 0.05
ρ in Mg/m³: 4.57

Cell and atoms, written as extended XYZ:
```
4
Lattice="-4.679 -4.470 -3.787 -1.131 -5.180 -5.302 0.769 -2.805 3.116" Properties=species:S:1:pos:R:3 pbc="T T T"
Cu -3.130 -7.065 -4.021
Ag -0.107 -4.219 1.728
Br -3.792 -9.269 -4.538
Br 0.234 -0.935 0.986
```

No. 14
The following is a DFT calculation (PBE-GGA) of an optimized crystal structure of CuAgBr2.

Properties
Formation energy (no corrections) in meV per atom: -60
DOS at the Fermi energy in states/eV/cell: 0.50
Space group: C2/m
E above lowest polymorph in eV per formula unit: 0.90
ρ in Mg/m³: 5.09

Cell and atoms, written as extended XYZ:
```
4
Lattice="5.652 0.023 0.024 0.608 5.619 0.024 1.802 1.624 3.416" Properties=species:S:1:pos:R:3 pbc="T T T"
Ag 1.205 3.622 1.720
Cu 3.727 0.824 1.720
Br 3.130 2.821 0.024
Br 0.000 0.000 0.000
```

No. 15
The following is a DFT calculation (PBE-GGA) of an optimized crystal structure of Cu3Ag4Br12.

Properties
Formation energy (no corrections) in meV per atom: -227
DOS at the Fermi energy in states/eV/cell: 14.08
Space group: Im-3
ρ in Mg/m³: 4.87

Cell and atoms, written as extended XYZ:
```
19
Lattice="8.880 0.000 0.000 -2.960 8.372 0.000 -2.960 -4.186 7.250" Properties=species:S:1:pos:R:3 pbc="T T T"
Br 3.931 3.500 3.670
Br 2.924 0.004 2.385
Br -0.971 0.686 3.581
Br 4.949 -1.428 4.866
Br 0.036 4.182 4.866
Br 0.971 3.444 1.196
Br 5.956 2.067 1.189
Br 2.996 6.309 1.196
Br 1.989 0.742 6.055
Br -0.036 -2.123 6.055
Br -2.996 2.119 6.062
Br -1.989 5.614 2.385
Ag 1.480 2.093 3.625
Ag -1.480 4.186 0.000
Ag 4.440 0.000 0.000
Ag -1.480 -2.093 3.625
Cu -2.960 2.093 3.625
Cu 2.960 -2.093 3.625
Cu 2.960 4.186 0.000
```

No. 16
The following is a DFT calculation (PBE-GGA) of an optimized crystal structure of Cu2AgBr.

Properties
Formation energy (no corrections) in meV per atom: 220
DOS at the Fermi energy in states/eV/cell: 1.55
Space group: C2/m
E above lowest polymorph in eV per formula unit: 0.48
ρ in Mg/m³: 5.96

Cell and atoms, written as extended XYZ:
```
4
Lattice="-3.728 2.758 0.045 -4.580 -0.613 0.389 1.632 0.173 5.746" Properties=species:S:1:pos:R:3 pbc="T T T"
Cu -2.660 1.048 3.679
Cu 0.954 0.284 5.157
Ag -5.007 1.739 4.635
Br -1.669 0.580 1.545
```

No. 17
The following is a DFT calculation (PBE-GGA) of an optimized crystal structure of Cu2AgBr.

Properties
Formation energy (no corrections) in meV per atom: 480
DOS at the Fermi energy in states/eV/cell: 0.38
Space group: F-43m
E above lowest polymorph in eV per formula unit: 1.51
ρ in Mg/m³: 7.51

Cell and atoms, written as extended XYZ:
```
4
Lattice="-0.356 4.561 -0.623 -2.596 1.665 -3.435 -3.972 2.156 0.944" Properties=species:S:1:pos:R:3 pbc="T T T"
Br -5.192 6.287 -2.335
Ag -3.462 4.191 -1.557
Cu 0.000 0.000 0.000
Cu -1.731 2.096 -0.778
```

No. 18
The following is a DFT calculation (PBE-GGA) of an optimized crystal structure of CuAgBr2.

Properties
Formation energy (no corrections) in meV per atom: -116
DOS at the Fermi energy in states/eV/cell: 0.24
Space group: Imm2
E above lowest polymorph in eV per formula unit: 0.68
ρ in Mg/m³: 5.38

Cell and atoms, written as extended XYZ:
```
4
Lattice="7.862 0.235 -0.058 5.962 5.130 0.058 -6.880 -2.765 2.625" Properties=species:S:1:pos:R:3 pbc="T T T"
Br 13.640 5.293 0.000
Br 3.882 0.050 1.283
Ag 3.871 2.863 1.341
Cu 6.287 2.440 0.000
```

No. 19
The following is a DFT calculation (PBE-GGA) of an optimized crystal structure of Cu3AgBr6.

Properties
Formation energy (no corrections) in meV per atom: -222
DOS at the Fermi energy in states/eV/cell: 10.48
Space group: Cmmm
E above lowest polymorph in eV per formula unit: 0.56
ρ in Mg/m³: 5.19

Cell and atoms, written as extended XYZ:
```
10
Lattice="-2.818 2.653 0.457 -0.954 -2.347 7.739 5.596 5.912 0.181" Properties=species:S:1:pos:R:3 pbc="T T T"
Br 2.951 1.844 7.483
Br 1.906 4.363 3.042
Br -0.021 -0.439 2.413
Br -0.082 1.856 5.335
Br 4.664 4.004 5.507
Br 1.692 1.722 0.437
Cu 1.389 4.283 0.319
Cu -1.886 0.153 4.098
Cu 0.000 0.000 0.000
Ag 2.321 1.783 3.960
```

No. 20
The following is a DFT calculation (PBE-GGA) of an optimized crystal structure of Cu2AgBr.

Properties
Formation energy (no corrections) in meV per atom: 124
DOS at the Fermi energy in states/eV/cell: 0.52
Space group: Pm
E above lowest polymorph in eV per formula unit: 0.09
ρ in Mg/m³: 7.01

Cell and atoms, written as extended XYZ:
```
4
Lattice="-1.223 -3.090 -0.258 2.931 -1.065 -1.152 2.019 -1.324 6.286" Properties=species:S:1:pos:R:3 pbc="T T T"
Cu 2.286 -0.865 -0.487
Cu 0.540 -2.094 0.991
Ag 3.041 -1.363 1.901
Br 3.266 -3.415 3.888
```

No. 21
The following is a DFT calculation (PBE-GGA) of an optimized crystal structure of CuAgBr3.

Properties
Formation energy (no corrections) in meV per atom: -268
DOS at the Fermi energy in states/eV/cell: 14.40
Space group: P-31m
E above lowest polymorph in eV per formula unit: 0.09
ρ in Mg/m³: 4.59

Cell and atoms, written as extended XYZ:
```
10
Lattice="-2.379 -6.305 -1.573 5.696 0.683 3.869 -4.031 0.043 5.928" Properties=species:S:1:pos:R:3 pbc="T T T"
Br -4.519 -4.152 3.281
Br -1.824 -1.861 5.097
Br 1.110 -3.718 3.127
Br 0.827 0.241 2.906
Br 0.838 0.484 6.891
Br -1.891 -2.111 1.074
Cu -2.844 0.030 4.182
Cu -1.187 0.013 1.746
Ag 0.989 -1.625 5.019
Ag -1.703 -3.954 3.205
```

No. 22
The following is a DFT calculation (PBE-GGA) of an optimized crystal structure of Cu2Ag2Br7.

Properties
Formation energy (no corrections) in meV per atom: -241
DOS at the Fermi energy in states/eV/cell: 9.34
Space group: C2/m
ρ in Mg/m³: 4.47

Cell and atoms, written as extended XYZ:
```
11
Lattice="-2.665 -2.909 5.573 -5.457 -2.729 -4.204 6.114 -4.144 0.588" Properties=species:S:1:pos:R:3 pbc="T T T"
Cu -1.202 -6.700 0.922
Cu -0.806 -3.082 1.036
Ag -1.881 -3.166 -2.723
Ag 2.537 -3.707 -0.893
Br -0.331 -4.844 -0.632
Br 1.595 -2.542 1.257
Br 0.488 -7.741 2.395
Br -3.603 -7.240 0.701
Br -2.495 -2.041 -0.437
Br -1.332 -1.454 2.787
Br -1.677 -4.938 2.590
```

No. 23
The following is a DFT calculation (PBE-GGA) of an optimized crystal structure of Cu2AgBr.

Properties
Formation energy (no corrections) in meV per atom: 271
DOS at the Fermi energy in states/eV/cell: 1.26
Space group: R-3m
E above lowest polymorph in eV per formula unit: 0.68
ρ in Mg/m³: 7.18

Cell and atoms, written as extended XYZ:
```
4
Lattice="7.262 -0.103 -0.062 6.481 3.278 -0.062 6.481 1.497 2.917" Properties=species:S:1:pos:R:3 pbc="T T T"
Ag 5.056 1.168 0.698
Cu 20.188 4.664 2.789
Cu 10.147 2.344 1.402
Br 15.168 3.504 2.095
```

No. 24
The following is a DFT calculation (PBE-GGA) of an optimized crystal structure of CuAgBr2.

Properties
Formation energy (no corrections) in meV per atom: -111
DOS at the Fermi energy in states/eV/cell: 0.57
Space group: P2/m
E above lowest polymorph in eV per formula unit: 0.70
ρ in Mg/m³: 5.19

Cell and atoms, written as extended XYZ:
```
4
Lattice="-2.998 1.547 -1.427 1.400 -0.859 -3.874 -3.410 -5.948 0.713" Properties=species:S:1:pos:R:3 pbc="T T T"
Ag -3.006 -4.332 -3.084
Cu -2.001 -0.928 -1.504
Br 0.056 -0.125 -0.254
Br -1.061 -3.279 -1.327
```

No. 25
The following is a DFT calculation (PBE-GGA) of an optimized crystal structure of CuAgBr2.

Properties
Formation energy (no corrections) in meV per atom: 407
DOS at the Fermi energy in states/eV/cell: 3.03
Space group: F-43m
E above lowest polymorph in eV per formula unit: 2.77
ρ in Mg/m³: 6.27

Cell and atoms, written as extended XYZ:
```
4
Lattice="-3.722 2.892 -1.627 -4.733 -1.436 0.632 -2.914 2.386 3.267" Properties=species:S:1:pos:R:3 pbc="T T T"
Cu -8.526 2.882 1.704
Ag -5.684 1.921 1.136
Br -2.842 0.961 0.568
Br 0.000 0.000 0.000
```